No. 1
VASP calculation (GGA-PBE) on Ho2TmMg2 after structural relaxation.

```
data_Ho2TmMg2
_space_group_name_H-M_alt 'C m c m'
_space_group_IT_number 63
_space_group_name_Hall '-C 2c 2'
_cell_length_a 4.918
_cell_length_b 23.042
_cell_length_c 4.900
_cell_angle_alpha 90.00
_cell_angle_beta 90.00
_cell_angle_gamma 90.00
loop_
_atom_site_label
_atom_site_fract_x
_atom_site_fract_y
_atom_site_fract_z
_atom_site_occupancy
Ho1 0.000 0.052 0.250 1
Ho2 0.000 0.444 0.250 1
Tm1 0.000 0.160 0.750 1
Mg1 0.000 0.250 0.250 1
Mg2 0.000 0.337 0.750 1
```

Summary:
- excess energy over the best structure of this formula in the dataset (eV/atom) = 0.0478
- energy relative to the elements (meV/atom) = -11
- crystal system = orthorhombic
- volume (Å³ per cell) = 555.2

No. 2
VASP calculation (GGA-PBE) on HoTm7Mg2 after structural relaxation.

```
data_HoTm7Mg2
_space_group_name_H-M_alt 'C m m m'
_space_group_IT_number 65
_space_group_name_Hall '-C 2 2'
_cell_length_a 8.735
_cell_length_b 16.301
_cell_length_c 5.121
_cell_angle_alpha 90.00
_cell_angle_beta 90.00
_cell_angle_gamma 90.00
loop_
_atom_site_label
_atom_site_fract_x
_atom_site_fract_y
_atom_site_fract_z
_atom_site_occupancy
Ho1 0.000 0.000 0.000 1
Tm1 0.000 0.207 0.000 1
Tm2 0.000 0.500 0.500 1
Tm3 0.181 0.111 0.500 1
Mg1 0.000 0.300 0.500 1
```

Summary:
- energy relative to the elements (meV/atom) = 595
- crystal system = orthorhombic
- volume (Å³ per cell) = 729.1

No. 3
VASP calculation (GGA-PBE) on Ho8Tm4Mg after structural relaxation.

```
data_Ho8Tm4Mg
_space_group_name_H-M_alt 'R -3 m'
_space_group_IT_number 166
_space_group_name_Hall '-R 3 2"'
_cell_length_a 7.0346
_cell_length_b 7.0346
_cell_length_c 28.5454
_cell_angle_alpha 90.00
_cell_angle_beta 90.00
_cell_angle_gamma 120.00
loop_
_atom_site_label
_atom_site_fract_x
_atom_site_fract_y
_atom_site_fract_z
_atom_site_occupancy
Ho1 0.0000 0.0000 0.2122 1
Ho2 0.0163 0.5082 0.7622 1
Tm1 0.0000 0.0000 0.0000 1
Tm2 0.0000 0.5000 0.0000 1
Mg1 0.0000 0.0000 0.5000 1
```

Summary:
- energy relative to the elements (meV/atom) = 203
- crystal system = trigonal
- volume (Å³ per cell) = 1223.3

No. 4
VASP calculation (GGA-PBE) on Ho4Tm6Mg after structural relaxation.

```
data_Ho4Tm6Mg
_space_group_name_H-M_alt 'I -4 2 m'
_space_group_IT_number 121
_space_group_name_Hall 'I -4 2'
_cell_length_a 6.416
_cell_length_b 6.416
_cell_length_c 16.779
_cell_angle_alpha 90.00
_cell_angle_beta 90.00
_cell_angle_gamma 90.00
loop_
_atom_site_label
_atom_site_fract_x
_atom_site_fract_y
_atom_site_fract_z
_atom_site_occupancy
Ho1 0.176 0.176 0.365 1
Tm1 0.000 0.500 0.000 1
Tm2 0.183 0.183 0.168 1
Mg1 0.000 0.000 0.000 1
```

Summary:
- energy relative to the elements (meV/atom) = 284
- crystal system = tetragonal
- volume (Å³ per cell) = 690.8

No. 5
VASP calculation (GGA-PBE) on Ho6TmMg2 after structural relaxation.

```
data_Ho6TmMg2
_space_group_name_H-M_alt 'R 3'
_space_group_IT_number 146
_space_group_name_Hall 'R 3'
_cell_length_a 6.5931
_cell_length_b 6.5931
_cell_length_c 21.5532
_cell_angle_alpha 90.00
_cell_angle_beta 90.00
_cell_angle_gamma 120.00
loop_
_atom_site_label
_atom_site_fract_x
_atom_site_fract_y
_atom_site_fract_z
_atom_site_occupancy
Ho1 0.0028 0.5525 0.0000 1
Ho2 0.1260 0.3359 0.1758 1
Tm1 0.0000 0.0000 0.7867 1
Mg1 0.0000 0.0000 0.0590 1
Mg2 0.0000 0.0000 0.9258 1
```

Summary:
- energy relative to the elements (meV/atom) = 191
- crystal system = trigonal
- volume (Å³ per cell) = 811.4

No. 6
VASP calculation (GGA-PBE) on Ho4Tm5Mg2 after structural relaxation.

```
data_Ho4Tm5Mg2
_space_group_name_H-M_alt 'I m m m'
_space_group_IT_number 71
_space_group_name_Hall '-I 2 2'
_cell_length_a 3.386
_cell_length_b 8.752
_cell_length_c 22.697
_cell_angle_alpha 90.00
_cell_angle_beta 90.00
_cell_angle_gamma 90.00
loop_
_atom_site_label
_atom_site_fract_x
_atom_site_fract_y
_atom_site_fract_z
_atom_site_occupancy
Ho1 0.000 0.000 0.232 1
Ho2 0.000 0.319 0.500 1
Tm1 0.000 0.196 0.361 1
Tm2 0.000 0.500 0.000 1
Mg1 0.000 0.000 0.099 1
```

Summary:
- excess energy over the best structure of this formula in the dataset (eV/atom) = 0.2322
- energy relative to the elements (meV/atom) = 251
- crystal system = orthorhombic
- volume (Å³ per cell) = 672.5

No. 7
VASP calculation (GGA-PBE) on Ho2TmMg after structural relaxation.

```
data_Ho2TmMg
_space_group_name_H-M_alt 'P 4/m m m'
_space_group_IT_number 123
_space_group_name_Hall '-P 4 2'
_cell_length_a 5.378
_cell_length_b 5.378
_cell_length_c 4.002
_cell_angle_alpha 90.00
_cell_angle_beta 90.00
_cell_angle_gamma 90.00
loop_
_atom_site_label
_atom_site_fract_x
_atom_site_fract_y
_atom_site_fract_z
_atom_site_occupancy
Ho1 0.000 0.500 0.000 1
Tm1 0.000 0.000 0.500 1
Mg1 0.500 0.500 0.500 1
```

Summary:
- excess energy over the best structure of this formula in the dataset (eV/atom) = 0.0703
- energy relative to the elements (meV/atom) = 43
- crystal system = tetragonal
- volume (Å³ per cell) = 115.7

No. 8
VASP calculation (GGA-PBE) on Ho3Tm3Mg after structural relaxation.

```
data_Ho3Tm3Mg
_space_group_name_H-M_alt 'P 63/m'
_space_group_IT_number 176
_space_group_name_Hall '-P 6c'
_cell_length_a 9.2950
_cell_length_b 9.2950
_cell_length_c 5.5520
_cell_angle_alpha 90.00
_cell_angle_beta 90.00
_cell_angle_gamma 120.00
loop_
_atom_site_label
_atom_site_fract_x
_atom_site_fract_y
_atom_site_fract_z
_atom_site_occupancy
Ho1 0.0563 0.8147 0.2500 1
Tm1 0.1022 0.6245 0.7500 1
Mg1 0.3333 0.6667 0.2500 1
```

Summary:
- excess energy over the best structure of this formula in the dataset (eV/atom) = 0.0000
- energy relative to the elements (meV/atom) = 19
- crystal system = hexagonal
- volume (Å³ per cell) = 415.4

No. 9
VASP calculation (GGA-PBE) on Ho2TmMg3 after structural relaxation.

```
data_Ho2TmMg3
_space_group_name_H-M_alt 'P 4/m m m'
_space_group_IT_number 123
_space_group_name_Hall '-P 4 2'
_cell_length_a 3.772
_cell_length_b 3.772
_cell_length_c 11.265
_cell_angle_alpha 90.00
_cell_angle_beta 90.00
_cell_angle_gamma 90.00
loop_
_atom_site_label
_atom_site_fract_x
_atom_site_fract_y
_atom_site_fract_z
_atom_site_occupancy
Ho1 0.000 0.000 0.167 1
Tm1 0.000 0.000 0.500 1
Mg1 0.500 0.500 0.000 1
Mg2 0.500 0.500 0.335 1
```

Summary:
- energy relative to the elements (meV/atom) = -67
- crystal system = tetragonal
- volume (Å³ per cell) = 160.3

No. 10
VASP calculation (GGA-PBE) on HoTm4Mg2 after structural relaxation.

```
data_HoTm4Mg2
_space_group_name_H-M_alt 'C m m m'
_space_group_IT_number 65
_space_group_name_Hall '-C 2 2'
_cell_length_a 3.466
_cell_length_b 34.289
_cell_length_c 3.422
_cell_angle_alpha 90.00
_cell_angle_beta 90.00
_cell_angle_gamma 90.00
loop_
_atom_site_label
_atom_site_fract_x
_atom_site_fract_y
_atom_site_fract_z
_atom_site_occupancy
Ho1 0.000 0.000 0.000 1
Tm1 0.000 0.145 0.000 1
Tm2 0.000 0.426 0.500 1
Mg1 0.000 0.288 0.500 1
```

Summary:
- excess energy over the best structure of this formula in the dataset (eV/atom) = 0.0000
- energy relative to the elements (meV/atom) = 37
- crystal system = orthorhombic
- volume (Å³ per cell) = 406.7

No. 11
VASP calculation (GGA-PBE) on Ho6Tm8Mg after structural relaxation.

```
data_Ho6Tm8Mg
_space_group_name_H-M_alt 'P -3'
_space_group_IT_number 147
_cell_length_a 9.1803
_cell_length_b 9.1803
_cell_length_c 6.5494
_cell_angle_alpha 90.00
_cell_angle_beta 90.00
_cell_angle_gamma 120.00
loop_
_space_group_symop_operation_xyz
'x,y,z'
'-x,-y,-z'
'-y,x-y,z'
'y,-x+y,-z'
'-x+y,-x,z'
'x-y,x,-z'
loop_
_atom_site_label
_atom_site_fract_x
_atom_site_fract_y
_atom_site_fract_z
_atom_site_occupancy
Ho1 0.0911 0.6811 0.4022 1
Tm1 0.0195 0.3341 0.1033 1
Tm2 0.3333 0.6667 0.8276 1
Mg1 0.0000 0.0000 0.5000 1
```

Summary:
- energy relative to the elements (meV/atom) = 255
- crystal system = trigonal
- volume (Å³ per cell) = 478.0